A relaxed PrCr4Ga3O12 crystal, computed with PBE with a Hubbard U.

Properties
- SG: Im-3 (204)
- DFT total energy: -7.1897 eV per atom
- Crystal system: cubic

Lattice parameters (Å, degrees): 6.505 6.505 6.505 109.47 109.47 109.47
Each line ends with the local moment (μB).
Atoms (fractional coordinates):
O: 0.485 0.310 0.175  -0.01
Ga: 0.500 0.000 0.500  0.02
O: 0.310 0.825 0.135  -0.01
O: 0.310 0.175 0.485  -0.01
O: 0.825 0.515 0.690  -0.01
Ga: 0.500 0.500 0.000  0.02
O: 0.515 0.690 0.825  -0.01
Pr: 0.000 0.000 0.000  0.00
O: 0.175 0.865 0.690  -0.01
O: 0.690 0.825 0.515  -0.01
O: 0.865 0.690 0.175  -0.01
Ga: 0.000 0.500 0.500  0.02
O: 0.175 0.485 0.310  -0.01
Cr: 0.500 0.000 0.000  2.94
O: 0.825 0.135 0.310  -0.01
Cr: 0.000 0.500 0.000  2.94
Cr: 0.000 0.000 0.500  2.94
Cr: 0.500 0.500 0.500  2.94
O: 0.135 0.310 0.825  -0.01
O: 0.690 0.175 0.865  -0.01